YUTc2 after structural relaxation. Source: OQMD via LeMat-Bulk, functional PBE-GGA.

a b c (Å): 3.370 3.370 7.011
angles (deg): 90.00 90.00 90.00
Element x y z (fractional)
Y1 0.000 0.000 0.000
U1 0.000 0.000 0.500
Tc1 0.500 0.500 0.294
Tc2 0.500 0.500 0.706

Results
theoretical density = 10.907 g/cm³
formation energy from the elements = -59 kJ/mol of formula units
total moment = 0.01 μB/cell